Record 1
Density functional theory data (PBEsol) for TcNi2Pt after structural relaxation.

Geometry as POSCAR:
```
TcNi2Pt
1.0
2.640 0.000 0.000
0.000 4.330 0.000
0.000 0.000 4.517
Tc Ni Pt
1 2 1
direct
0.000 0.000 0.000
0.000 0.500 0.500
0.500 0.500 0.000
0.500 0.000 0.500
```

offset from the most stable computed form: 299 meV per atom
mass density: 13.199 Mg/m³
energy of formation from the pure elements: 0.212 eV per atom
DOS at the Fermi energy: 6.6 states/eV/cell

Record 2
Density functional theory data (PBEsol) for ZnInTc2 after structural relaxation.

Geometry as POSCAR:
```
ZnInTc2
1.0
3.011 0.000 0.000
0.000 3.011 0.000
0.000 0.000 6.836
Zn In Tc
1 1 2
direct
0.000 0.000 0.000
0.500 0.500 0.284
0.000 0.000 0.562
0.500 0.500 0.776
```

offset from the most stable computed form: 0 meV per atom
mass density: 10.080 Mg/m³
energy of formation from the pure elements: 0.052 eV per atom
DOS at the Fermi energy: 2.0 states/eV/cell

Record 3
Density functional theory data (PBEsol) for Ta2Ag2Sn after structural relaxation.

Geometry as POSCAR:
```
Ta2Ag2Sn
1.0
-1.840 1.840 7.105
1.840 -1.840 7.105
1.840 1.840 -7.105
Ta Ag Sn
2 2 1
direct
0.094 0.094 0.000
0.906 0.906 0.000
0.250 0.750 0.500
0.750 0.250 0.500
0.500 0.500 0.000
```

mass density: 12.016 Mg/m³
energy of formation from the pure elements: 0.611 eV per atom
DOS at the Fermi energy: 5.3 states/eV/cell

Record 4
Density functional theory data (PBEsol) for Ag4Pt7 after structural relaxation.

Geometry as POSCAR:
```
Ag4Pt7
1.0
9.187 -1.382 0.000
9.187 1.382 0.000
-1.739 0.000 6.665
Ag Pt
4 7
direct
0.138 0.138 0.082
0.224 0.224 0.815
0.776 0.776 0.185
0.862 0.862 0.918
0.050 0.050 0.356
0.317 0.317 0.547
0.416 0.416 0.287
0.500 0.500 0.000
0.584 0.584 0.713
0.683 0.683 0.453
0.950 0.950 0.644
```

offset from the most stable computed form: 0 meV per atom
mass density: 17.626 Mg/m³
energy of formation from the pure elements: -0.009 eV per atom
DOS at the Fermi energy: 9.4 states/eV/cell

Record 5
Density functional theory data (PBEsol) for Y3Sb4Pd8 after structural relaxation.

Geometry as POSCAR:
```
Y3Sb4Pd8
1.0
0.000 6.529 6.529
6.529 0.000 6.529
6.529 6.529 0.000
Y Sb Pd
6 8 16
direct
0.225 0.225 0.775
0.225 0.775 0.225
0.225 0.775 0.775
0.775 0.225 0.225
0.775 0.225 0.775
0.775 0.775 0.225
0.000 0.000 0.000
0.000 0.000 0.500
0.000 0.500 0.000
0.000 0.500 0.500
0.500 0.000 0.000
0.500 0.000 0.500
0.500 0.500 0.000
0.500 0.500 0.500
0.143 0.619 0.619
0.168 0.168 0.168
0.168 0.168 0.496
0.168 0.496 0.168
0.381 0.381 0.381
0.381 0.381 0.857
0.381 0.857 0.381
0.496 0.168 0.168
0.504 0.832 0.832
0.619 0.143 0.619
0.619 0.619 0.143
0.619 0.619 0.619
0.832 0.504 0.832
0.832 0.832 0.504
0.832 0.832 0.832
0.857 0.381 0.381
```

mass density: 9.576 Mg/m³
electronic total energy: -6.6299 eV per atom
DOS at the Fermi energy: 15.7 states/eV/cell

Record 6
Density functional theory data (PBEsol) for Si3HCl after structural relaxation.

Geometry as POSCAR:
```
Si3HCl
1.0
4.150 0.000 0.000
0.000 4.150 0.000
0.000 0.000 4.150
Si H Cl
3 1 1
direct
0.000 0.000 0.500
0.000 0.500 0.000
0.500 0.000 0.000
0.000 0.000 0.000
0.500 0.500 0.500
```

mass density: 2.804 Mg/m³
electronic total energy: -3.7161 eV per atom
DOS at the Fermi energy: 3.0 states/eV/cell

Record 7
Density functional theory data (PBEsol) for MgCo2Pb after structural relaxation.

Geometry as POSCAR:
```
MgCo2Pb
1.0
4.014 0.000 0.000
0.000 1.647 4.902
0.000 -1.647 4.902
Mg Co Pb
1 2 1
direct
0.000 0.000 0.000
0.000 0.709 0.709
0.500 0.595 0.595
0.500 0.317 0.317
```

mass density: 8.954 Mg/m³
energy of formation from the pure elements: 0.289 eV per atom
DOS at the Fermi energy: 4.4 states/eV/cell

Record 8
Density functional theory data (PBEsol) for RbSiCl2 after structural relaxation.

Geometry as POSCAR:
```
RbSiCl2
1.0
2.132 1.231 8.558
-2.132 1.231 8.558
0.000 -2.462 8.558
Rb Si Cl
1 1 2
direct
0.000 0.000 0.000
0.500 0.500 0.500
0.120 0.120 0.120
0.880 0.880 0.880
```

mass density: 2.272 Mg/m³
electronic total energy: -3.0934 eV per atom
DOS at the Fermi energy: 1.8 states/eV/cell

Record 9
Density functional theory data (PBEsol) for CoHgPt2 after structural relaxation.

Geometry as POSCAR:
```
CoHgPt2
1.0
2.796 0.000 0.000
0.000 4.487 0.000
-0.007 0.000 4.871
Co Hg Pt
1 1 2
direct
0.000 0.000 0.000
0.998 0.500 0.347
0.498 0.500 0.860
0.499 0.000 0.537
```

mass density: 17.652 Mg/m³
energy of formation from the pure elements: 0.170 eV per atom
DOS at the Fermi energy: 3.9 states/eV/cell

Record 10
Density functional theory data (PBEsol) for TlCrSi after structural relaxation.

Geometry as POSCAR:
```
TlCrSi
1.0
-1.589 1.589 4.906
1.589 -1.589 4.906
1.589 1.589 -4.906
Tl Cr Si
1 1 1
direct
0.000 0.000 0.000
0.294 0.294 0.000
0.716 0.716 0.000
```

offset from the most stable computed form: 0 meV per atom
mass density: 9.537 Mg/m³
DOS at the Fermi energy: 1.0 states/eV/cell

Record 11
Density functional theory data (PBEsol) for PrZnFe2O6 after structural relaxation.

Geometry as POSCAR:
```
PrZnFe2O6
1.0
7.365 0.000 0.000
0.000 5.357 0.000
0.000 0.000 5.164
Pr Zn Fe O
2 2 4 12
direct
0.000 0.223 0.000
0.500 0.777 0.500
0.000 0.730 0.536
0.500 0.270 0.036
0.249 0.255 0.510
0.251 0.745 0.010
0.749 0.745 0.010
0.751 0.255 0.510
0.000 0.265 0.444
0.000 0.758 0.143
0.197 0.962 0.717
0.198 0.501 0.761
0.302 0.499 0.261
0.303 0.038 0.217
0.500 0.242 0.643
0.500 0.735 0.944
0.697 0.038 0.217
0.698 0.499 0.261
0.802 0.501 0.761
0.803 0.962 0.717
```

mass density: 6.748 Mg/m³
electronic total energy: -7.4073 eV per atom
DOS at the Fermi energy: 9.2 states/eV/cell

Record 12
Density functional theory data (PBEsol) for LiSbPb2 after structural relaxation.

Geometry as POSCAR:
```
LiSbPb2
1.0
3.784 0.000 0.000
0.000 3.784 0.000
0.000 0.000 7.238
Li Sb Pb
1 1 2
direct
0.000 0.000 0.000
0.500 0.500 0.817
0.000 0.000 0.553
0.500 0.500 0.254
```

mass density: 8.701 Mg/m³
electronic total energy: -3.7522 eV per atom
DOS at the Fermi energy: 2.0 states/eV/cell